[1]
{"formula": "Pm3Y12In", "functional": "PBE", "state": "relaxed", "cell": [[5.005, 0.000, 0.000], [0.000, 5.005, 0.000], [0.000, 0.000, 20.349]], "species": ["Pm", "Pm", "Pm", "Y", "Y", "Y", "Y", "Y", "Y", "Y", "Y", "Y", "Y", "Y", "Y", "In"], "frac_coords": [[0.000, 0.000, 0.000], [0.000, 0.000, 0.252], [0.000, 0.000, 0.748], [0.000, 0.500, 0.127], [0.000, 0.500, 0.381], [0.000, 0.500, 0.619], [0.000, 0.500, 0.873], [0.500, 0.000, 0.127], [0.500, 0.000, 0.381], [0.500, 0.000, 0.619], [0.500, 0.000, 0.873], [0.500, 0.500, 0.000], [0.500, 0.500, 0.257], [0.500, 0.500, 0.500], [0.500, 0.500, 0.743], [0.000, 0.000, 0.500]], "formation_enthalpy_0k_ev_per_atom": -0.0431, "crystal_system": "tetragonal"}


[2]
{"formula": "Ac3Y2Sn3", "functional": "PBE", "state": "relaxed", "cell": [[9.588, 0.000, 0.000], [-4.794, 8.304, 0.000], [0.000, 0.000, 6.864]], "species": ["Ac", "Ac", "Ac", "Ac", "Ac", "Ac", "Y", "Y", "Y", "Y", "Sn", "Sn", "Sn", "Sn", "Sn", "Sn"], "frac_coords": [[0.000, 0.247, 0.250], [0.000, 0.753, 0.750], [0.247, 0.000, 0.250], [0.247, 0.247, 0.750], [0.753, 0.000, 0.750], [0.753, 0.753, 0.250], [0.333, 0.667, 0.000], [0.333, 0.667, 0.500], [0.667, 0.333, 0.000], [0.667, 0.333, 0.500], [0.000, 0.401, 0.750], [0.000, 0.599, 0.250], [0.401, 0.000, 0.750], [0.401, 0.401, 0.250], [0.599, 0.000, 0.250], [0.599, 0.599, 0.750]], "e_above_lowest_polymorph_ev_per_fu": 0.00, "formation_enthalpy_0k_ev_per_atom": -0.6530, "crystal_system": "hexagonal"}


[3]
{"formula": "Tb7CeHo4", "functional": "PBE", "state": "relaxed", "cell": [[5.961, -2.911, 0.000], [5.961, 2.911, 0.000], [-5.831, 0.000, 11.258]], "species": ["Tb", "Tb", "Tb", "Tb", "Tb", "Tb", "Tb", "Ce", "Ho", "Ho", "Ho", "Ho"], "frac_coords": [[0.000, 0.000, 0.000], [0.135, 0.135, 0.504], [0.295, 0.295, 0.077], [0.441, 0.441, 0.671], [0.559, 0.559, 0.329], [0.705, 0.705, 0.923], [0.865, 0.865, 0.496], [0.500, 0.500, 0.000], [0.132, 0.132, 0.775], [0.246, 0.246, 0.312], [0.754, 0.754, 0.688], [0.868, 0.868, 0.225]], "e_above_lowest_polymorph_ev_per_fu": 3.17, "formation_enthalpy_0k_ev_per_atom": 0.2770, "crystal_system": "monoclinic"}


[4]
{"formula": "KCd5Hg6", "functional": "PBE", "state": "relaxed", "cell": [[4.593, -7.607, 0.000], [4.593, 7.607, 0.000], [-3.064, 0.000, 4.524]], "species": ["K", "Cd", "Cd", "Cd", "Cd", "Cd", "Hg", "Hg", "Hg", "Hg", "Hg", "Hg"], "frac_coords": [[0.000, 0.000, 0.000], [0.153, 0.847, 0.500], [0.322, 0.678, 0.000], [0.500, 0.500, 0.500], [0.678, 0.322, 0.000], [0.847, 0.153, 0.500], [0.100, 0.449, 0.279], [0.278, 0.278, 0.773], [0.449, 0.100, 0.279], [0.551, 0.900, 0.721], [0.722, 0.722, 0.227], [0.900, 0.551, 0.721]], "formation_enthalpy_0k_ev_per_atom": -0.0326, "crystal_system": "monoclinic"}


[5]
{"formula": "RbLi3Pa4S12", "functional": "PBE", "state": "relaxed", "cell": [[-4.979, 4.979, 4.979], [4.979, -4.979, 4.979], [4.979, 4.979, -4.979]], "species": ["Rb", "Li", "Li", "Li", "Pa", "Pa", "Pa", "Pa", "S", "S", "S", "S", "S", "S", "S", "S", "S", "S", "S", "S"], "frac_coords": [[0.000, 0.000, 0.000], [0.000, 0.500, 0.500], [0.500, 0.000, 0.500], [0.500, 0.500, 0.000], [0.000, 0.000, 0.500], [0.000, 0.500, 0.000], [0.500, 0.000, 0.000], [0.500, 0.500, 0.500], [0.127, 0.308, 0.819], [0.181, 0.488, 0.308], [0.181, 0.873, 0.692], [0.308, 0.181, 0.488], [0.308, 0.819, 0.127], [0.488, 0.308, 0.181], [0.512, 0.692, 0.819], [0.692, 0.181, 0.873], [0.692, 0.819, 0.512], [0.819, 0.127, 0.308], [0.819, 0.512, 0.692], [0.873, 0.692, 0.181]], "crystal_system": "cubic", "formation_energy_uncorrected_ev_per_fu": -29.3}


[6]
{"formula": "Re3SbCl", "functional": "PBE", "state": "relaxed", "cell": [[4.994, 0.000, 0.000], [0.000, 4.994, 0.000], [0.000, 0.000, 4.994]], "species": ["Re", "Re", "Re", "Sb", "Cl"], "frac_coords": [[0.000, 0.000, 0.500], [0.000, 0.500, 0.000], [0.500, 0.000, 0.000], [0.000, 0.000, 0.000], [0.500, 0.500, 0.500]], "e_above_lowest_polymorph_ev_per_fu": 5.37, "crystal_system": "cubic", "formation_energy_uncorrected_ev_per_fu": 14.6}